Entry 1:
A geometry-optimized La4TlSbTe2 structure, computed with GGA-PBE.

Values from the calculation:
Formation energy without anion corrections in eV/f.u.: -9.68
DOS at the Fermi energy in states/eV per atom: 0.5059

Cell and atoms, written as POSCAR:
```
La4TlSbTe2
1.0
4.548 0.000 0.000
0.000 8.022 -0.197
0.000 2.784 7.558
La Tl Sb Te
4 1 1 2
direct
0.000 0.747 0.749
0.000 0.253 0.251
0.500 0.743 0.253
0.500 0.257 0.747
0.500 0.500 0.000
0.000 0.500 0.500
0.000 0.000 0.000
0.500 0.000 0.500
```


Entry 2:
A geometry-optimized InOsCl4 structure, computed with GGA-PBE.

Values from the calculation:
Formation energy without anion corrections in eV/f.u.: 7.12
DOS at the Fermi energy in states/eV per atom: 1.1343

Cell and atoms, written as POSCAR:
```
InOsCl4
1.0
0.000 4.245 4.245
4.245 0.000 4.245
4.245 4.245 0.000
In Os Cl
1 1 4
direct
0.750 0.750 0.750
0.000 0.000 0.000
0.876 0.375 0.375
0.375 0.375 0.876
0.375 0.876 0.375
0.375 0.375 0.375
```


Entry 3:
A geometry-optimized Al3BiC structure, computed with GGA-PBE.

Values from the calculation:
Final energy in eV per cell: -12.954
DOS at the Fermi energy in states/eV per atom: 0.6877

Cell and atoms, written as POSCAR:
```
Al3BiC
1.0
5.636 0.000 0.000
0.000 5.636 0.000
0.000 0.000 5.636
C Bi Al
1 1 3
direct
0.500 0.500 0.500
0.000 0.000 0.000
0.000 0.500 0.000
0.000 0.000 0.500
0.500 0.000 0.000
```


| no. | ρ (g/cm³) |
| --- | --- |
| 1 | 6.79 |
| 2 | 4.85 |
| 3 | 2.80 |